Entry 1:
Ce3PrSm3Se8 after structural relaxation, computed with PBE-GGA.

a b c (Å): 8.3684 8.3684 8.3684
angles (deg): 60.06 60.06 60.06
Last column: nearest neighbours and their distance in Å.
Fractional positions:
Ce  0.0000  0.5000  0.5000  6 Se 2.97
Ce  0.5000  0.0000  0.5000  6 Se 2.97
Ce  0.5000  0.5000  0.0000  6 Se 2.97
Pr  0.0000  0.0000  0.0000  6 Se 3.02
Sm  0.0000  0.0000  0.5000  6 Se 2.95
Sm  0.0000  0.5000  0.0000  6 Se 2.95
Sm  0.5000  0.0000  0.0000  6 Se 2.95
Se  0.2489  0.2489  0.2489  3 Sm 2.95, 3 Ce 2.97
Se  0.2537  0.7446  0.7446  2 Sm 2.95, 2 Ce 2.97, 1 Pr 3.02
Se  0.2554  0.2554  0.7463  2 Sm 2.95, 2 Ce 2.97, 1 Pr 3.02
Se  0.2554  0.7463  0.2554  2 Sm 2.95, 2 Ce 2.97, 1 Pr 3.02
Se  0.7446  0.2537  0.7446  2 Sm 2.95, 2 Ce 2.97, 1 Pr 3.02
Se  0.7446  0.7446  0.2537  2 Sm 2.95, 2 Ce 2.97, 1 Pr 3.02
Se  0.7463  0.2554  0.2554  2 Sm 2.95, 2 Ce 2.97, 1 Pr 3.02
Se  0.7511  0.7511  0.7511  3 Sm 2.95, 3 Ce 2.97

* total magnetization: 3.53 μB/f.u.
* calculated density: 6.58 g/cm3
* energy relative to the elements, uncorrected: -1855 meV per atom
* crystal system: trigonal
* symmetry: R-3m

Entry 2:
SrCe2PrSe4 after structural relaxation, computed with PBE-GGA.

a b c (Å): 7.4062 4.2513 7.4470
angles (deg): 90.00 109.15 90.00
Last column: nearest neighbours and their distance in Å.
Fractional positions:
Sr  0.0000  0.0000  0.0000  6 Se 3.05-3.06
Ce  0.0000  0.5000  0.5000  6 Se 3.01
Ce  0.5000  0.0000  0.5000  6 Se 2.99-3.00
Pr  0.5000  0.5000  0.0000  6 Se 3.04
Se  0.2496  0.0000  0.7449  3 Ce 3.00-3.01, 2 Pr 3.04, 1 Sr 3.05
Se  0.2541  0.5000  0.2565  3 Ce 2.99-3.01, 1 Pr 3.04, 2 Sr 3.06
Se  0.7459  0.5000  0.7435  3 Ce 2.99-3.01, 1 Pr 3.04, 2 Sr 3.06
Se  0.7504  0.0000  0.2551  3 Ce 3.00-3.01, 2 Pr 3.04, 1 Sr 3.05

* total magnetization: 2.37 μB/f.u.
* calculated density: 6.18 g/cm3
* energy relative to the elements, uncorrected: -1847 meV per atom
* crystal system: monoclinic
* symmetry: P2/m

Entry 3:
SrCe3Pr4Se8 after structural relaxation, computed with PBE-GGA.

a b c (Å): 8.5212 8.5212 8.5212
angles (deg): 60.02 60.02 60.02
Last column: nearest neighbours and their distance in Å.
Fractional positions:
Sr  0.0000  0.0000  0.0000  6 Se 3.02
Ce  0.0000  0.5000  0.5000  6 Se 2.99
Ce  0.5000  0.0000  0.5000  6 Se 2.99
Ce  0.5000  0.5000  0.0000  6 Se 2.99
Pr  0.0000  0.0000  0.5000  6 Se 3.03
Pr  0.0000  0.5000  0.0000  6 Se 3.03
Pr  0.5000  0.0000  0.0000  6 Se 3.03
Pr  0.5000  0.5000  0.5000  6 Se 3.00
Se  0.2508  0.2508  0.7458  2 Ce 2.99, 3 Pr 3.00-3.03, 1 Sr 3.02
Se  0.2508  0.7458  0.2508  2 Ce 2.99, 3 Pr 3.00-3.03, 1 Sr 3.02
Se  0.2517  0.2517  0.2517  3 Ce 2.99, 3 Pr 3.03
Se  0.2542  0.7492  0.7492  2 Ce 2.99, 3 Pr 3.00-3.03, 1 Sr 3.02
Se  0.7458  0.2508  0.2508  2 Ce 2.99, 3 Pr 3.00-3.03, 1 Sr 3.02
Se  0.7483  0.7483  0.7483  3 Ce 2.99, 3 Pr 3.03
Se  0.7492  0.2542  0.7492  2 Ce 2.99, 3 Pr 3.00-3.03, 1 Sr 3.02
Se  0.7492  0.7492  0.2542  2 Ce 2.99, 3 Pr 3.00-3.03, 1 Sr 3.02

* total magnetization: 2.96 μB/f.u.
* calculated density: 6.46 g/cm3
* energy relative to the elements, uncorrected: -1848 meV per atom
* crystal system: trigonal
* symmetry: R-3m

Entry 4:
SrCe2Pr3Se6 after structural relaxation, computed with PBE-GGA.

a b c (Å): 7.3923 7.3923 7.4073
angles (deg): 99.59 99.59 120.05
Last column: nearest neighbours and their distance in Å.
Fractional positions:
Sr  0.0000  0.0000  0.0000  6 Se 3.03-3.05
Ce  0.3336  0.6664  0.0000  6 Se 2.98-3.00
Ce  0.6664  0.3336  0.0000  6 Se 2.98-3.00
Pr  0.1628  0.8372  0.5000  6 Se 3.02-3.04
Pr  0.5000  0.5000  0.5000  6 Se 3.01-3.04
Pr  0.8372  0.1628  0.5000  6 Se 3.02-3.04
Se  0.0830  0.4213  0.2491  2 Ce 3.00, 3 Pr 3.03-3.04, 1 Sr 3.05
Se  0.2563  0.2563  0.7551  2 Ce 2.98, 3 Pr 3.01-3.02, 1 Sr 3.03
Se  0.4213  0.0830  0.2491  2 Ce 3.00, 3 Pr 3.03-3.04, 1 Sr 3.05
Se  0.5787  0.9170  0.7509  2 Ce 3.00, 3 Pr 3.03-3.04, 1 Sr 3.05
Se  0.7437  0.7437  0.2449  2 Ce 2.98, 3 Pr 3.01-3.02, 1 Sr 3.03
Se  0.9170  0.5787  0.7509  2 Ce 3.00, 3 Pr 3.03-3.04, 1 Sr 3.05

* total magnetization: 1.95 μB/f.u.
* calculated density: 6.36 g/cm3
* energy relative to the elements, uncorrected: -1852 meV per atom
* crystal system: monoclinic
* symmetry: C2/m

Entry 5:
Sr2CePrSe4 after structural relaxation, computed with PBE-GGA.

a b c (Å): 7.4516 4.3034 7.6220
angles (deg): 90.00 109.03 90.00
Last column: nearest neighbours and their distance in Å.
Fractional positions:
Sr  0.0000  0.0000  0.0000  6 Se 3.09
Sr  0.5000  0.5000  0.0000  6 Se 3.11
Ce  0.0000  0.5000  0.5000  6 Se 3.03
Pr  0.5000  0.0000  0.5000  6 Se 3.04
Se  0.2460  0.0000  0.7422  2 Ce 3.03, 1 Pr 3.04, 3 Sr 3.09-3.11
Se  0.2506  0.5000  0.2571  1 Ce 3.03, 2 Pr 3.04, 3 Sr 3.09-3.11
Se  0.7494  0.5000  0.7429  1 Ce 3.03, 2 Pr 3.04, 3 Sr 3.09-3.11
Se  0.7540  0.0000  0.2578  2 Ce 3.03, 1 Pr 3.04, 3 Sr 3.09-3.11

* total magnetization: 1.47 μB/f.u.
* calculated density: 5.55 g/cm3
* energy relative to the elements, uncorrected: -1899 meV per atom
* crystal system: monoclinic
* symmetry: P2/m

Entry 6:
SrCePr4Se8 after structural relaxation, computed with PBE-GGA.

a b c (Å): 8.8354 8.8354 8.8354
angles (deg): 59.95 59.95 59.95
Last column: nearest neighbours and their distance in Å.
Fractional positions:
Sr  0.0000  0.0000  0.0000  4 Se 2.95-2.96
Ce  0.3744  0.3744  0.3744  6 Se 2.96-3.04
Pr  0.3739  0.3739  0.8804  6 Se 2.97-3.05
Pr  0.3739  0.8804  0.3739  6 Se 2.97-3.05
Pr  0.7507  0.7507  0.7507  4 Se 2.87-2.88
Pr  0.8804  0.3739  0.3739  6 Se 2.97-3.05
Se  0.1365  0.1365  0.1365  1 Sr 2.96, 3 Pr 2.97
Se  0.1378  0.1378  0.5904  1 Sr 2.95, 1 Ce 2.96, 2 Pr 2.97
Se  0.1378  0.5904  0.1378  1 Sr 2.95, 1 Ce 2.96, 2 Pr 2.97
Se  0.1493  0.6175  0.6175  3 Pr 2.87-3.05, 1 Ce 3.04
Se  0.5904  0.1378  0.1378  1 Sr 2.95, 1 Ce 2.96, 2 Pr 2.97
Se  0.6175  0.1493  0.6175  3 Pr 2.87-3.05, 1 Ce 3.04
Se  0.6175  0.6175  0.1493  3 Pr 2.87-3.05, 1 Ce 3.04
Se  0.6179  0.6179  0.6179  4 Pr 2.88-3.05

* total magnetization: 1.41 μB/f.u.
* calculated density: 4.85 g/cm3
* energy relative to the elements, uncorrected: -1786 meV per atom
* crystal system: trigonal
* symmetry: R3m